Model P:
Material: LiInRe3
Method: DFT, PBE-GGA
State: relaxed

Cell lengths 4.244, 4.244, 4.244 Å; angles 90.00, 90.00, 90.00 degrees
Sites, in units of the cell vectors:
Li1 0.000 0.000 0.000
Re1 0.000 0.000 0.500
In1 0.500 0.500 0.500
Re2 0.500 0.000 0.000
Re3 0.000 0.500 0.000

Values from the calculation:
Magnetic moment   0.00 μB/f.u.
Fermi-level density of states   5.56 states/eV/f.u.

---

Model Q:
Material: LiInRe3
Method: DFT, PBE-GGA
State: relaxed

Cell lengths 4.879, 4.879, 4.879 Å; angles 90.00, 90.00, 90.00 degrees
Sites, in units of the cell vectors:
Re1 0.500 0.000 0.000
Re2 0.000 0.500 0.000
In1 0.000 0.000 0.000
Li1 0.500 0.500 0.500
Re3 0.000 0.000 0.500

Values from the calculation:
Magnetic moment   0.01 μB/f.u.
Fermi-level density of states   8.63 states/eV/f.u.

---

Which structure is most stable, and how do the rest compare? From most to least stable: model P, model Q.